Entry 1:
La2Zn7Rh | PBE | optimized geometry

a = 4.346 Å, b = 4.346 Å, c = 10.365 Å
α = 90.00°, β = 90.00°, γ = 90.00°
Element x y z (fractional)
La 0.000 0.500 0.243
La 0.500 0.000 0.757
Zn 0.000 0.000 0.000
Zn 0.000 0.000 0.500
Zn 0.000 0.500 0.629
Zn 0.000 0.500 0.870
Zn 0.500 0.000 0.130
Zn 0.500 0.000 0.371
Zn 0.500 0.500 0.500
Rh 0.500 0.500 0.000

crystal system: tetragonal
density: 7114 kg/m³
total energy: -0.2184 Ry/atom
N(E_F): 0.568 states/eV/atom

***

Entry 2:
La2Zn5Rh3 | PBE | optimized geometry

a = 8.590 Å, b = 8.590 Å, c = 5.872 Å
α = 109.93°, β = 109.93°, γ = 86.41°
Element x y z (fractional)
La 0.112 0.369 0.241
La 0.369 0.112 0.741
La 0.631 0.888 0.259
La 0.888 0.631 0.759
Zn 0.000 0.000 0.250
Zn 0.000 0.000 0.750
Zn 0.245 0.469 0.857
Zn 0.267 0.733 0.250
Zn 0.267 0.733 0.750
Zn 0.469 0.245 0.357
Zn 0.531 0.755 0.643
Zn 0.733 0.267 0.250
Zn 0.733 0.267 0.750
Zn 0.755 0.531 0.143
Rh 0.002 0.737 0.370
Rh 0.263 0.998 0.130
Rh 0.500 0.500 0.250
Rh 0.500 0.500 0.750
Rh 0.737 0.002 0.870
Rh 0.998 0.263 0.630

crystal system: monoclinic
density: 7938 kg/m³
total energy: -0.3179 Ry/atom
N(E_F): 0.483 states/eV/atom

***

Entry 3:
La3Zn3Rh2 | PBE | optimized geometry

a = 7.764 Å, b = 16.350 Å, c = 5.752 Å
α = 90.00°, β = 90.00°, γ = 90.00°
Element x y z (fractional)
La 0.040 0.104 0.106
La 0.040 0.396 0.106
La 0.168 0.250 0.638
La 0.332 0.750 0.138
La 0.460 0.604 0.606
La 0.460 0.896 0.606
La 0.540 0.104 0.394
La 0.540 0.396 0.394
La 0.668 0.250 0.862
La 0.832 0.750 0.362
La 0.960 0.604 0.894
La 0.960 0.896 0.894
Zn 0.166 0.033 0.592
Zn 0.166 0.467 0.592
Zn 0.173 0.750 0.631
Zn 0.327 0.250 0.131
Zn 0.334 0.533 0.092
Zn 0.334 0.967 0.092
Zn 0.666 0.033 0.908
Zn 0.666 0.467 0.908
Zn 0.673 0.750 0.869
Zn 0.827 0.250 0.369
Zn 0.834 0.533 0.408
Zn 0.834 0.967 0.408
Rh 0.127 0.614 0.371
Rh 0.127 0.886 0.371
Rh 0.373 0.114 0.871
Rh 0.373 0.386 0.871
Rh 0.627 0.614 0.129
Rh 0.627 0.886 0.129
Rh 0.873 0.114 0.629
Rh 0.873 0.386 0.629

crystal system: orthorhombic
density: 7448 kg/m³
total energy: -0.3469 Ry/atom
N(E_F): 0.741 states/eV/atom

***

Entry 4:
LaZn9Rh2 | PBE | optimized geometry

a = 8.266 Å, b = 8.266 Å, c = 8.266 Å
α = 100.34°, β = 100.34°, γ = 129.88°
Element x y z (fractional)
La 0.375 0.625 0.750
La 0.625 0.375 0.250
Zn 0.125 0.875 0.250
Zn 0.141 0.562 0.335
Zn 0.141 0.806 0.580
Zn 0.194 0.273 0.335
Zn 0.194 0.859 0.920
Zn 0.273 0.194 0.835
Zn 0.273 0.438 0.080
Zn 0.438 0.273 0.580
Zn 0.438 0.859 0.165
Zn 0.562 0.141 0.835
Zn 0.562 0.727 0.420
Zn 0.727 0.562 0.920
Zn 0.727 0.806 0.165
Zn 0.806 0.141 0.080
Zn 0.806 0.727 0.665
Zn 0.859 0.194 0.420
Zn 0.859 0.438 0.665
Zn 0.875 0.125 0.750
Rh 0.000 0.000 0.000
Rh 0.000 0.000 0.500
Rh 0.000 0.500 0.000
Rh 0.500 0.000 0.500

crystal system: tetragonal
density: 7897 kg/m³
total energy: -0.2170 Ry/atom
polymorph energy (0 for the lowest one): 0.000 eV/atom
N(E_F): 0.527 states/eV/atom

***

Entry 5:
La5Zn2Rh | PBE | optimized geometry

a = 8.087 Å, b = 11.816 Å, c = 4.946 Å
α = 90.00°, β = 90.00°, γ = 90.00°
Element x y z (fractional)
La 0.000 0.000 0.000
La 0.147 0.295 0.000
La 0.182 0.583 0.500
La 0.318 0.083 0.500
La 0.353 0.795 0.000
La 0.500 0.500 0.000
La 0.647 0.205 0.000
La 0.682 0.917 0.500
La 0.818 0.417 0.500
La 0.853 0.705 0.000
Zn 0.071 0.842 0.500
Zn 0.429 0.342 0.500
Zn 0.571 0.658 0.500
Zn 0.929 0.158 0.500
Rh 0.000 0.500 0.000
Rh 0.500 0.000 0.000

crystal system: orthorhombic
density: 6523 kg/m³
total energy: -0.3428 Ry/atom
N(E_F): 1.195 states/eV/atom

***

Entry 6:
La2Zn5Rh5 | PBE | optimized geometry

a = 4.019 Å, b = 5.657 Å, c = 9.327 Å
α = 90.00°, β = 90.00°, γ = 90.00°
Element x y z (fractional)
La 0.000 0.000 0.000
La 0.000 0.500 0.500
Zn 0.000 0.000 0.330
Zn 0.000 0.000 0.670
Zn 0.000 0.500 0.167
Zn 0.000 0.500 0.833
Zn 0.500 0.000 0.500
Rh 0.500 0.252 0.258
Rh 0.500 0.252 0.742
Rh 0.500 0.500 0.000
Rh 0.500 0.748 0.258
Rh 0.500 0.748 0.742

crystal system: orthorhombic
density: 8765 kg/m³
total energy: -0.3654 Ry/atom
N(E_F): 0.600 states/eV/atom

***

Entry 7:
LaZn2Rh | PBE | optimized geometry

a = 4.202 Å, b = 4.637 Å, c = 4.641 Å
α = 90.00°, β = 105.61°, γ = 90.00°
Element x y z (fractional)
La 0.000 0.000 0.000
Zn 0.355 0.500 0.700
Zn 0.645 0.500 0.300
Rh 0.500 0.000 0.500

crystal system: monoclinic
density: 7105 kg/m³
total energy: -0.3010 Ry/atom
N(E_F): 0.553 states/eV/atom

***

Entry 8:
LaZn2Rh | PBE | optimized geometry

a = 3.962 Å, b = 3.962 Å, c = 5.152 Å
α = 90.00°, β = 90.00°, γ = 90.00°
Element x y z (fractional)
La 0.000 0.000 0.000
Zn 0.000 0.500 0.500
Zn 0.500 0.000 0.500
Rh 0.500 0.500 0.000

crystal system: tetragonal
density: 7651 kg/m³
total energy: -0.2933 Ry/atom
N(E_F): 0.316 states/eV/atom

***

Entry 9:
La2Zn2Rh3 | PBE | optimized geometry

a = 11.115 Å, b = 3.853 Å, c = 6.949 Å
α = 90.00°, β = 110.68°, γ = 90.00°
Element x y z (fractional)
La 0.120 0.000 0.259
La 0.380 0.500 0.741
La 0.620 0.500 0.259
La 0.880 0.000 0.741
Zn 0.148 0.000 0.731
Zn 0.352 0.500 0.269
Zn 0.648 0.500 0.731
Zn 0.852 0.000 0.269
Rh 0.000 0.500 0.500
Rh 0.131 0.500 0.966
Rh 0.369 0.000 0.034
Rh 0.500 0.000 0.500
Rh 0.631 0.000 0.966
Rh 0.869 0.500 0.034

crystal system: monoclinic
density: 8557 kg/m³
total energy: -0.4017 Ry/atom
N(E_F): 0.529 states/eV/atom

***

Entry 10:
La6Zn5Rh | PBE | optimized geometry

a = 9.128 Å, b = 9.128 Å, c = 5.281 Å
α = 106.75°, β = 106.75°, γ = 48.32°
Element x y z (fractional)
La 0.081 0.601 0.342
La 0.237 0.763 0.000
La 0.399 0.919 0.658
La 0.601 0.081 0.342
La 0.763 0.237 0.000
La 0.919 0.399 0.658
Zn 0.182 0.182 0.180
Zn 0.330 0.330 0.832
Zn 0.500 0.500 0.500
Zn 0.670 0.670 0.168
Zn 0.818 0.818 0.820
Rh 0.000 0.000 0.500

crystal system: monoclinic
density: 6728 kg/m³
total energy: -0.2930 Ry/atom
N(E_F): 0.940 states/eV/atom

***

Entry 11:
La4ZnRh2 | PBE | optimized geometry

a = 7.509 Å, b = 7.509 Å, c = 7.810 Å
α = 105.27°, β = 105.27°, γ = 74.65°
Element x y z (fractional)
La 0.000 0.000 0.000
La 0.005 0.005 0.515
La 0.011 0.468 0.378
La 0.457 0.989 0.869
La 0.468 0.011 0.378
La 0.486 0.486 0.989
La 0.502 0.502 0.520
La 0.989 0.457 0.869
Zn 0.777 0.777 0.155
Zn 0.787 0.787 0.645
Rh 0.195 0.714 0.731
Rh 0.271 0.271 0.643
Rh 0.275 0.275 0.146
Rh 0.714 0.195 0.731

crystal system: monoclinic
density: 6853 kg/m³
total energy: -0.4132 Ry/atom
N(E_F): 0.807 states/eV/atom

***

Entry 12:
La2ZrRh | PBE | optimized geometry

a = 4.320 Å, b = 4.320 Å, c = 10.440 Å
α = 90.00°, β = 90.00°, γ = 90.00°
Element x y z (fractional)
La 0.000 0.500 0.250
La 0.000 0.500 0.750
La 0.500 0.000 0.250
La 0.500 0.000 0.750
Zr 0.000 0.000 0.000
Zr 0.500 0.500 0.500
Rh 0.000 0.000 0.500
Rh 0.500 0.500 0.000

crystal system: tetragonal
density: 8043 kg/m³
total energy: -0.4701 Ry/atom
polymorph energy (0 for the lowest one): 0.331 eV/atom
N(E_F): 1.482 states/eV/atom

***

Entry 13:
La2ZrRh | PBE | optimized geometry

a = 3.471 Å, b = 3.471 Å, c = 8.853 Å
α = 90.00°, β = 90.00°, γ = 90.00°
Element x y z (fractional)
La 0.000 0.000 0.000
La 0.500 0.500 0.350
Zr 0.500 0.500 0.727
Rh 0.000 0.000 0.575

crystal system: tetragonal
density: 7348 kg/m³
total energy: -0.4944 Ry/atom
polymorph energy (0 for the lowest one): 0.000 eV/atom
N(E_F): 1.657 states/eV/atom

***

Entry 14:
LaZrRh | PBE | optimized geometry

a = 3.430 Å, b = 3.430 Å, c = 12.189 Å
α = 90.00°, β = 90.00°, γ = 90.00°
Element x y z (fractional)
La 0.000 0.000 0.000
La 0.500 0.500 0.500
Zr 0.000 0.000 0.716
Zr 0.500 0.500 0.216
Rh 0.000 0.000 0.319
Rh 0.500 0.500 0.819

crystal system: tetragonal
density: 7715 kg/m³
total energy: -0.5385 Ry/atom
polymorph energy (0 for the lowest one): 0.194 eV/atom
N(E_F): 1.506 states/eV/atom

***

Entry 15:
La2ZrRh | PBE | optimized geometry

a = 3.742 Å, b = 3.742 Å, c = 27.604 Å
α = 90.00°, β = 90.00°, γ = 120.00°
Element x y z (fractional)
La 0.000 0.000 0.234
La 0.000 0.000 0.766
La 0.333 0.667 0.432
La 0.333 0.667 0.901
La 0.667 0.333 0.099
La 0.667 0.333 0.568
Zr 0.000 0.000 0.000
Zr 0.333 0.667 0.667
Zr 0.667 0.333 0.333
Rh 0.000 0.000 0.500
Rh 0.333 0.667 0.167
Rh 0.667 0.333 0.833

crystal system: trigonal
density: 7022 kg/m³
total energy: -0.4807 Ry/atom
polymorph energy (0 for the lowest one): 0.186 eV/atom
N(E_F): 1.252 states/eV/atom

***

Entry 16:
LaZr2Rh | PBE | optimized geometry

a = 3.324 Å, b = 3.324 Å, c = 8.553 Å
α = 90.00°, β = 90.00°, γ = 90.00°
Element x y z (fractional)
La 0.000 0.000 0.000
Zr 0.000 0.000 0.424
Zr 0.500 0.500 0.666
Rh 0.500 0.500 0.252

crystal system: tetragonal
density: 7456 kg/m³
total energy: -0.5620 Ry/atom
polymorph energy (0 for the lowest one): 0.000 eV/atom
N(E_F): 1.226 states/eV/atom

***

Entry 17:
LaZr2Rh | PBE | optimized geometry

a = 3.424 Å, b = 3.424 Å, c = 28.102 Å
α = 90.00°, β = 90.00°, γ = 120.00°
Element x y z (fractional)
La 0.000 0.000 0.000
La 0.333 0.667 0.667
La 0.667 0.333 0.333
Zr 0.000 0.000 0.233
Zr 0.000 0.000 0.477
Zr 0.333 0.667 0.144
Zr 0.333 0.667 0.899
Zr 0.667 0.333 0.566
Zr 0.667 0.333 0.810
Rh 0.000 0.000 0.746
Rh 0.333 0.667 0.412
Rh 0.667 0.333 0.079

crystal system: trigonal
density: 7409 kg/m³
total energy: -0.5482 Ry/atom
polymorph energy (0 for the lowest one): 0.188 eV/atom
N(E_F): 0.739 states/eV/atom

***

Entry 18:
LaZr2Rh | PBE | optimized geometry

a = 4.108 Å, b = 4.108 Å, c = 5.482 Å
α = 90.00°, β = 90.00°, γ = 90.00°
Element x y z (fractional)
La 0.000 0.000 0.000
Zr 0.000 0.500 0.500
Zr 0.500 0.000 0.500
Rh 0.500 0.500 0.000

crystal system: tetragonal
density: 7613 kg/m³
total energy: -0.5461 Ry/atom
polymorph energy (0 for the lowest one): 0.216 eV/atom
N(E_F): 1.483 states/eV/atom

***

Entry 19:
LaZr2Rh | PBE | optimized geometry

a = 3.313 Å, b = 5.267 Å, c = 10.832 Å
α = 90.00°, β = 90.00°, γ = 90.00°
Element x y z (fractional)
La 0.000 0.000 0.000
La 0.500 0.500 0.500
Zr 0.000 0.500 0.209
Zr 0.000 0.500 0.791
Zr 0.500 0.000 0.291
Zr 0.500 0.000 0.709
Rh 0.000 0.000 0.500
Rh 0.500 0.500 0.000

crystal system: orthorhombic
density: 7453 kg/m³
total energy: -0.5577 Ry/atom
polymorph energy (0 for the lowest one): 0.059 eV/atom
N(E_F): 1.095 states/eV/atom

***

Entry 20:
LaZrRh | PBE | optimized geometry

a = 4.415 Å, b = 4.415 Å, c = 4.598 Å
α = 90.00°, β = 90.00°, γ = 120.00°
Element x y z (fractional)
La 0.000 0.000 0.000
Zr 0.333 0.667 0.512
Rh 0.667 0.333 0.417

crystal system: trigonal
density: 7125 kg/m³
total energy: -0.5331 Ry/atom
polymorph energy (0 for the lowest one): 0.268 eV/atom
N(E_F): 1.020 states/eV/atom

***

Entry 21:
LaZr2Rh | PBE | optimized geometry

a = 6.945 Å, b = 6.945 Å, c = 6.945 Å
α = 90.00°, β = 90.00°, γ = 90.00°
Element x y z (fractional)
La 0.000 0.000 0.000
La 0.000 0.500 0.500
La 0.500 0.000 0.500
La 0.500 0.500 0.000
Zr 0.250 0.250 0.250
Zr 0.250 0.250 0.750
Zr 0.250 0.750 0.250
Zr 0.250 0.750 0.750
Zr 0.750 0.250 0.250
Zr 0.750 0.250 0.750
Zr 0.750 0.750 0.250
Zr 0.750 0.750 0.750
Rh 0.000 0.000 0.500
Rh 0.000 0.500 0.000
Rh 0.500 0.000 0.000
Rh 0.500 0.500 0.500

crystal system: cubic
density: 8412 kg/m³
total energy: -0.5476 Ry/atom
polymorph energy (0 for the lowest one): 0.196 eV/atom
N(E_F): 0.874 states/eV/atom

***

Entry 22:
LaZrRh | PBE | optimized geometry

a = 4.732 Å, b = 4.732 Å, c = 6.705 Å
α = 90.00°, β = 90.00°, γ = 90.00°
Element x y z (fractional)
La 0.250 0.250 0.121
La 0.750 0.750 0.879
Zr 0.250 0.750 0.500
Zr 0.750 0.250 0.500
Rh 0.250 0.250 0.695
Rh 0.750 0.750 0.305

crystal system: tetragonal
density: 7366 kg/m³
total energy: -0.5528 Ry/atom
polymorph energy (0 for the lowest one): 0.000 eV/atom
N(E_F): 0.950 states/eV/atom

***

Entry 23:
LaZr2Rh | PBE | optimized geometry

a = 4.118 Å, b = 4.118 Å, c = 10.852 Å
α = 90.00°, β = 90.00°, γ = 90.00°
Element x y z (fractional)
La 0.000 0.000 0.000
La 0.500 0.500 0.500
Zr 0.000 0.500 0.250
Zr 0.000 0.500 0.750
Zr 0.500 0.000 0.250
Zr 0.500 0.000 0.750
Rh 0.000 0.000 0.500
Rh 0.500 0.500 0.000

crystal system: tetragonal
density: 7658 kg/m³
total energy: -0.5484 Ry/atom
polymorph energy (0 for the lowest one): 0.185 eV/atom
N(E_F): 0.943 states/eV/atom

***

Entry 24:
LaZrRh | PBE | optimized geometry

a = 6.784 Å, b = 6.784 Å, c = 6.784 Å
α = 90.00°, β = 90.00°, γ = 90.00°
Element x y z (fractional)
La 0.000 0.000 0.000
La 0.000 0.500 0.500
La 0.500 0.000 0.500
La 0.500 0.500 0.000
Zr 0.000 0.000 0.500
Zr 0.000 0.500 0.000
Zr 0.500 0.000 0.000
Zr 0.500 0.500 0.500
Rh 0.250 0.250 0.750
Rh 0.250 0.750 0.250
Rh 0.750 0.250 0.250
Rh 0.750 0.750 0.750

crystal system: cubic
density: 7086 kg/m³
total energy: -0.5253 Ry/atom
polymorph energy (0 for the lowest one): 0.374 eV/atom
N(E_F): 1.461 states/eV/atom